No. 1
VASP calculation (GGA-PBEsol) on an optimized crystal structure of ZnAs2Ru2.

a = 5.5064 Å, b = 5.5064 Å, c = 5.5064 Å
α = 135.04°, β = 135.04°, γ = 65.46°
Closest atoms and distances in Å follow each position.
Fractional coordinates of all 5 atoms:
Zn (0.0000, 0.0000, 0.0000)  8 Ru 3.13, 10 As 3.21-3.44
As (0.3711, 0.3711, 0.0000)  4 Ru 2.39, 1 As 2.39
As (0.6289, 0.6289, 0.0000)  4 Ru 2.39, 1 As 2.39
Ru (0.2500, 0.7500, 0.5000)  4 As 2.39
Ru (0.7500, 0.2500, 0.5000)  4 As 2.39

As for the symmetry: I4/mmm, No. 139. The value obtained for the size of the total moment is 0.000 μB per formula unit. For the formation energy, the calculation gives -0.0149 eV/atom. The total energy is -6.443 eV/atom.

No. 2
VASP calculation (GGA-PBEsol) on an optimized crystal structure of Ta2TcAg.

a = 4.5712 Å, b = 4.5712 Å, c = 3.1748 Å
α = 90.00°, β = 90.00°, γ = 99.75°
Closest atoms and distances in Å follow each position.
Fractional coordinates of all 4 atoms:
Ta (0.0000, 0.5000, 0.0000)  4 Tc 2.78, 4 Ag 2.78, 2 Ta 2.95
Ta (0.5000, 0.0000, 0.0000)  4 Tc 2.78, 4 Ag 2.78, 2 Ta 2.95
Tc (0.0000, 0.0000, 0.5000)  8 Ta 2.78, 2 Ag 2.95
Ag (0.5000, 0.5000, 0.5000)  8 Ta 2.78, 2 Tc 2.95

As for the symmetry: Cmmm, No. 65. The value obtained for the size of the total moment is 0.000 μB per formula unit. For the formation energy, the calculation gives 0.1276 eV/atom. The polymorph energy (0 for the lowest one) comes out at 0 meV per atom. The total energy is -9.792 eV/atom.

No. 3
VASP calculation (GGA-PBEsol) on an optimized crystal structure of TcPd2Rh.

a = 4.3154 Å, b = 4.3154 Å, c = 4.3154 Å
α = 60.00°, β = 60.00°, γ = 60.00°
Closest atoms and distances in Å follow each position.
Fractional coordinates of all 4 atoms:
Tc (0.0000, 0.0000, 0.0000)  8 Pd 2.64
Pd (0.2500, 0.2500, 0.2500)  4 Tc 2.64, 4 Rh 2.64
Pd (0.7500, 0.7500, 0.7500)  4 Tc 2.64, 4 Rh 2.64
Rh (0.5000, 0.5000, 0.5000)  8 Pd 2.64

As for the symmetry: Fm-3m, No. 225. The value obtained for the size of the total moment is 0.000 μB per formula unit. For the formation energy, the calculation gives 0.3250 eV/atom. The total energy is -7.506 eV/atom.

No. 4
VASP calculation (GGA-PBEsol) on an optimized crystal structure of ZrCoSn.

a = 7.0386 Å, b = 7.0386 Å, c = 3.5589 Å
α = 90.00°, β = 90.00°, γ = 120.00°
Closest atoms and distances in Å follow each position.
Fractional coordinates of all 9 atoms:
Zr (0.0000, 0.6015, 0.0000)  5 Co 2.79-2.81, 6 Sn 2.96-3.05
Zr (0.3985, 0.3985, 0.0000)  5 Co 2.79-2.81, 6 Sn 2.96-3.05
Zr (0.6015, 0.0000, 0.0000)  5 Co 2.79-2.81, 6 Sn 2.96-3.05
Co (0.0000, 0.0000, 0.0000)  6 Sn 2.58, 3 Zr 2.81
Co (0.3333, 0.6667, 0.5000)  3 Sn 2.62, 6 Zr 2.79
Co (0.6667, 0.3333, 0.5000)  3 Sn 2.62, 6 Zr 2.79
Sn (0.0000, 0.2650, 0.5000)  4 Co 2.58-2.62
Sn (0.2650, 0.0000, 0.5000)  4 Co 2.58-2.62
Sn (0.7350, 0.7350, 0.5000)  4 Co 2.58-2.62

As for the symmetry: P-62m, No. 189. The value obtained for the size of the total moment is 0.000 μB per formula unit. For the formation energy, the calculation gives -0.5449 eV/atom. The total energy is -7.574 eV/atom.

No. 5
VASP calculation (GGA-PBEsol) on an optimized crystal structure of Li4CrFe3O8.

a = 5.6224 Å, b = 5.6224 Å, c = 4.9789 Å
α = 106.39°, β = 106.39°, γ = 60.03°
Closest atoms and distances in Å follow each position.
Fractional coordinates of all 16 atoms:
Li (0.2485, 0.2485, 0.9945)  6 O 2.04-2.10
Li (0.2481, 0.7519, 0.0000)  6 O 2.07-2.09
Li (0.7519, 0.2481, 0.0000)  6 O 2.07-2.09
Li (0.7515, 0.7515, 0.0055)  6 O 2.04-2.10
Cr (0.5000, 0.5000, 0.5000)  6 O 1.96
Fe (0.0000, 0.0000, 0.5000)  6 O 1.93
Fe (0.0000, 0.5000, 0.5000)  6 O 1.93
Fe (0.5000, 0.0000, 0.5000)  6 O 1.93
O (0.1242, 0.6317, 0.2745)  2 Fe 1.93, 1 Cr 1.96, 3 Li 2.04-2.10
O (0.1294, 0.1294, 0.2764)  3 Fe 1.93, 3 Li 2.07-2.09
O (0.3683, 0.8758, 0.7255)  2 Fe 1.93, 1 Cr 1.96, 3 Li 2.04-2.10
O (0.3686, 0.3686, 0.7261)  2 Fe 1.93, 1 Cr 1.96, 3 Li 2.04-2.09
O (0.6314, 0.6314, 0.2739)  2 Fe 1.93, 1 Cr 1.96, 3 Li 2.04-2.09
O (0.6317, 0.1242, 0.2745)  2 Fe 1.93, 1 Cr 1.96, 3 Li 2.04-2.10
O (0.8706, 0.8706, 0.7236)  3 Fe 1.93, 3 Li 2.07-2.09
O (0.8758, 0.3683, 0.7255)  2 Fe 1.93, 1 Cr 1.96, 3 Li 2.04-2.10

As for the symmetry: C2/m, No. 12. The energy relative to the elements, uncorrected is -1.704 eV/atom. The value obtained for the size of the total moment is 6.106 μB per formula unit. The total energy is -7.141 eV/atom.

No. 6
VASP calculation (GGA-PBEsol) on an optimized crystal structure of ZnNi2Pb.

a = 3.0806 Å, b = 3.0806 Å, c = 6.0895 Å
α = 90.00°, β = 90.00°, γ = 90.00°
Closest atoms and distances in Å follow each position.
Fractional coordinates of all 4 atoms:
Zn (0.0000, 0.0000, 0.0000)  8 Ni 2.52
Ni (0.5000, 0.5000, 0.2078)  4 Zn 2.52, 1 Ni 2.53, 4 Pb 2.81
Ni (0.5000, 0.5000, 0.7922)  4 Zn 2.52, 1 Ni 2.53, 4 Pb 2.81
Pb (0.0000, 0.0000, 0.5000)  8 Ni 2.81, 2 Zn 3.04, 4 Pb 3.08

As for the symmetry: P4/mmm, No. 123. The value obtained for the size of the total moment is 0.001 μB per formula unit. For the formation energy, the calculation gives 0.0939 eV/atom. The total energy is -4.380 eV/atom.